a | Pr2CuI (PBE, optimized geometry); space-group type = P4/mmm
1.0
3.6440 0.0000 0.0000
0.0000 3.6440 0.0000
0.0000 0.0000 8.4353
Pr Cu I
2 1 1
Direct
0.0000 0.0000 0.2175 Pr
0.0000 0.0000 0.7825 Pr
0.5000 0.5000 0.0000 Cu
0.5000 0.5000 0.5000 I

b | Pr2CuI (PBE, optimized geometry); space-group type = R-3m
1.0
2.1303 1.2299 7.8863
-2.1303 1.2299 7.8863
0.0000 -2.4599 7.8863
Pr Cu I
2 1 1
Direct
0.2340 0.2340 0.2340 Pr
0.7660 0.7660 0.7660 Pr
0.5000 0.5000 0.5000 Cu
0.0000 0.0000 0.0000 I

Stability check: which of them is most stable? b.

a | Rb2PrCuI6 (PBE, optimized geometry); space-group type = Fm-3m
1.0
0.0000 6.0093 6.0093
6.0093 0.0000 6.0093
6.0093 6.0093 0.0000
Rb Pr Cu I
2 1 1 6
Direct
0.2500 0.2500 0.2500 Rb
0.7500 0.7500 0.7500 Rb
0.0000 0.0000 0.0000 Pr
0.5000 0.5000 0.5000 Cu
0.2603 0.2603 0.7397 I
0.2603 0.7397 0.2603 I
0.2603 0.7397 0.7397 I
0.7397 0.2603 0.2603 I
0.7397 0.2603 0.7397 I
0.7397 0.7397 0.2603 I

b | Rb2PrCuI6 (PBE, optimized geometry); space-group type = P1
1.0
8.4503 0.0000 0.0000
-2.4735 8.0937 0.0000
-3.9569 -3.3039 6.9076
Rb Pr Cu I
2 1 1 6
Direct
0.0000 0.0000 0.0000 Rb
0.0833 0.4977 0.5848 Rb
0.6238 0.8345 0.2916 Pr
0.4926 0.2054 0.7898 Cu
0.1079 0.0416 0.5000 I
0.1683 0.6536 0.0814 I
0.5915 0.5582 0.9456 I
0.6114 0.1047 0.0772 I
0.6662 0.5948 0.5087 I
0.6944 0.1472 0.6387 I

Stability check: which of them is most stable? b.

a | CuPt2I (PBE, optimized geometry); space-group type = I-42d
1.0
-1.9845 1.9845 9.3985
1.9845 -1.9845 9.3985
1.9845 1.9845 -9.3985
Cu Pt I
2 4 2
Direct
0.0000 0.0000 0.0000 Cu
0.7500 0.2500 0.5000 Cu
0.1122 0.6250 0.9872 Pt
0.3750 0.3622 0.4872 Pt
0.6378 0.1250 0.0128 Pt
0.8750 0.8878 0.5128 Pt
0.2500 0.7500 0.5000 I
0.5000 0.5000 0.0000 I

b | CuPt2I (PBE, optimized geometry); space-group type = Fm-3m
1.0
0.0000 3.2712 3.2712
3.2712 0.0000 3.2712
3.2712 3.2712 0.0000
Cu Pt I
1 2 1
Direct
0.0000 0.0000 0.0000 Cu
0.2500 0.2500 0.2500 Pt
0.7500 0.7500 0.7500 Pt
0.5000 0.5000 0.5000 I

Stability check: which of them is most stable? a.

a | Cu3PtI (PBE, optimized geometry); space-group type = Pm-3m
1.0
4.7930 0.0000 0.0000
0.0000 4.7930 0.0000
0.0000 0.0000 4.7930
Cu Pt I
3 1 1
Direct
0.0000 0.0000 0.5000 Cu
0.0000 0.5000 0.0000 Cu
0.5000 0.0000 0.0000 Cu
0.0000 0.0000 0.0000 Pt
0.5000 0.5000 0.5000 I

b | Cu3PtI (PBE, optimized geometry); space-group type = Pm-3m
1.0
4.7954 0.0000 0.0000
0.0000 4.7954 0.0000
0.0000 0.0000 4.7954
Cu Pt I
3 1 1
Direct
0.0000 0.0000 0.5000 Cu
0.0000 0.5000 0.0000 Cu
0.5000 0.0000 0.0000 Cu
0.5000 0.5000 0.5000 Pt
0.0000 0.0000 0.0000 I

Stability check: which of them is most stable? a.

a | Rb2CuPtI6 (PBE, optimized geometry); space-group type = R-3m
1.0
3.9779 2.2966 13.6110
-3.9779 2.2966 13.6110
0.0000 -4.5932 13.6110
Rb Cu Pt I
4 2 2 12
Direct
0.1171 0.1171 0.1171 Rb
0.2999 0.2999 0.2999 Rb
0.7001 0.7001 0.7001 Rb
0.8829 0.8829 0.8829 Rb
0.4167 0.4167 0.4167 Cu
0.5833 0.5833 0.5833 Cu
0.0000 0.0000 0.0000 Pt
0.5000 0.5000 0.5000 Pt
0.1372 0.6202 0.6202 I
0.2053 0.2053 0.7098 I
0.2053 0.7098 0.2053 I
0.2902 0.7947 0.7947 I
0.3798 0.3798 0.8628 I
0.3798 0.8628 0.3798 I
0.6202 0.1372 0.6202 I
0.6202 0.6202 0.1372 I
0.7098 0.2053 0.2053 I
0.7947 0.2902 0.7947 I
0.7947 0.7947 0.2902 I
0.8628 0.3798 0.3798 I

b | Rb2CuPtI6 (PBE, optimized geometry); space-group type = I4/mmm
1.0
-4.0901 4.0901 5.5169
4.0901 -4.0901 5.5169
4.0901 4.0901 -5.5169
Rb Cu Pt I
2 1 1 6
Direct
0.2500 0.7500 0.5000 Rb
0.7500 0.2500 0.5000 Rb
0.0000 0.0000 0.0000 Cu
0.5000 0.5000 0.0000 Pt
0.2367 0.2367 0.0000 I
0.2638 0.2638 0.5276 I
0.2638 0.7362 0.0000 I
0.7362 0.2638 0.0000 I
0.7362 0.7362 0.4724 I
0.7633 0.7633 0.0000 I

Stability check: which of them is most stable? b.

a | Rb2CuI (PBE, optimized geometry); space-group type = Fm-3m
1.0
0.0000 4.3689 4.3689
4.3689 0.0000 4.3689
4.3689 4.3689 0.0000
Rb Cu I
2 1 1
Direct
0.2500 0.2500 0.2500 Rb
0.7500 0.7500 0.7500 Rb
0.0000 0.0000 0.0000 Cu
0.5000 0.5000 0.5000 I

b | Rb2CuI (PBE, optimized geometry); space-group type = I-42d
1.0
-4.1097 4.1097 7.9260
4.1097 -4.1097 7.9260
4.1097 4.1097 -7.9260
Rb Cu I
4 2 2
Direct
0.1088 0.6250 0.9838 Rb
0.3750 0.3588 0.4838 Rb
0.6412 0.1250 0.0162 Rb
0.8750 0.8912 0.5162 Rb
0.0000 0.0000 0.0000 Cu
0.7500 0.2500 0.5000 Cu
0.2500 0.7500 0.5000 I
0.5000 0.5000 0.0000 I

Stability check: which of them is most stable? a.

a | RbCuI2 (PBE, optimized geometry); space-group type = R-3m
1.0
2.9518 1.7042 7.9698
-2.9518 1.7042 7.9698
0.0000 -3.4084 7.9698
Rb Cu I
1 1 2
Direct
0.0000 0.0000 0.0000 Rb
0.5000 0.5000 0.5000 Cu
0.3992 0.3992 0.3992 I
0.6008 0.6008 0.6008 I

b | RbCuI2 (PBE, optimized geometry); space-group type = Cmce
1.0
3.9922 -9.4454 0.0000
3.9922 9.4454 0.0000
0.0000 0.0000 9.1620
Rb Cu I
4 4 8
Direct
0.1300 0.8700 0.9501 Rb
0.3700 0.6300 0.4501 Rb
0.6300 0.3700 0.5499 Rb
0.8700 0.1300 0.0499 Rb
0.0869 0.9131 0.3737 Cu
0.4131 0.5869 0.8737 Cu
0.5869 0.4131 0.1263 Cu
0.9131 0.0869 0.6263 Cu
0.1816 0.8184 0.5619 I
0.2250 0.2750 0.7500 I
0.2750 0.2250 0.2500 I
0.3184 0.6816 0.0619 I
0.6816 0.3184 0.9381 I
0.7250 0.7750 0.7500 I
0.7750 0.7250 0.2500 I
0.8184 0.1816 0.4381 I

c | RbCuI2 (PBE, optimized geometry); space-group type = I-42d
1.0
-4.0932 4.0932 4.6160
4.0932 -4.0932 4.6160
4.0932 4.0932 -4.6160
Rb Cu I
2 2 4
Direct
0.0000 0.0000 0.0000 Rb
0.7500 0.2500 0.5000 Rb
0.2500 0.7500 0.5000 Cu
0.5000 0.5000 0.0000 Cu
0.2242 0.6250 0.0992 I
0.3750 0.4742 0.5992 I
0.5258 0.1250 0.9008 I
0.8750 0.7758 0.4008 I

Stability check: which of them is most stable? b.

a | RbCu2I4 (PBE, optimized geometry); space-group type = P1
1.0
7.7583 0.0000 0.0000
0.0562 7.7759 0.0000
0.0452 0.0333 10.4661
Rb Cu I
2 4 8
Direct
0.0000 0.0000 0.0000 Rb
0.9998 0.0011 0.5000 Rb
0.0000 0.4994 0.7501 Cu
0.4999 0.0022 0.2499 Cu
0.5000 0.4994 0.7501 Cu
0.4998 0.5020 0.2499 Cu
0.2487 0.7348 0.7501 I
0.2497 0.2641 0.7497 I
0.2639 0.2514 0.2492 I
0.2643 0.7532 0.2502 I
0.7356 0.2508 0.2497 I
0.7357 0.7525 0.2507 I
0.7502 0.7350 0.7504 I
0.7512 0.2643 0.7500 I

b | RbCu2I4 (PBE, optimized geometry); space-group type = I4/m
1.0
-4.7539 4.7539 2.9237
4.7539 -4.7539 2.9237
4.7539 4.7539 -2.9237
Rb Cu I
1 2 4
Direct
0.0000 0.0000 0.0000 Rb
0.2500 0.7500 0.5000 Cu
0.7500 0.2500 0.5000 Cu
0.1860 0.6329 0.8189 I
0.3671 0.1860 0.5531 I
0.6329 0.8140 0.4469 I
0.8140 0.3671 0.1811 I

Stability check: which of them is most stable? b.

a | RbCuSbI2 (PBE, optimized geometry); space-group type = P4/mmm
1.0
6.8332 0.0000 0.0000
0.0000 6.8332 0.0000
0.0000 0.0000 7.0226
Rb Cu Sb I
1 1 1 2
Direct
0.0000 0.0000 0.0000 Rb
0.5000 0.5000 0.5000 Cu
0.0000 0.0000 0.5000 Sb
0.0000 0.5000 0.0000 I
0.5000 0.0000 0.0000 I

b | RbCuSbI2 (PBE, optimized geometry); space-group type = P4/mmm
1.0
5.9870 0.0000 0.0000
0.0000 5.9870 0.0000
0.0000 0.0000 4.9604
Rb Cu Sb I
1 1 1 2
Direct
0.0000 0.0000 0.0000 Rb
0.5000 0.5000 0.5000 Cu
0.5000 0.5000 0.0000 Sb
0.0000 0.5000 0.5000 I
0.5000 0.0000 0.5000 I

Stability check: which of them is most stable? b.

a | RbCuTeI2 (PBE, optimized geometry); space-group type = P4/mmm
1.0
5.8455 0.0000 0.0000
0.0000 5.8455 0.0000
0.0000 0.0000 5.1599
Rb Cu Te I
1 1 1 2
Direct
0.0000 0.0000 0.0000 Rb
0.5000 0.5000 0.5000 Cu
0.5000 0.5000 0.0000 Te
0.0000 0.5000 0.5000 I
0.5000 0.0000 0.5000 I

b | RbCuTeI2 (PBE, optimized geometry); space-group type = P4/mmm
1.0
6.8268 0.0000 0.0000
0.0000 6.8268 0.0000
0.0000 0.0000 6.7548
Rb Cu Te I
1 1 1 2
Direct
0.0000 0.0000 0.0000 Rb
0.5000 0.5000 0.5000 Cu
0.0000 0.0000 0.5000 Te
0.0000 0.5000 0.0000 I
0.5000 0.0000 0.0000 I

Stability check: which of them is most stable? a.

a | CuReI2 (PBE, optimized geometry); space-group type = Fm-3m
1.0
0.0000 3.4185 3.4185
3.4185 0.0000 3.4185
3.4185 3.4185 0.0000
Cu Re I
1 1 2
Direct
0.0000 0.0000 0.0000 Cu
0.5000 0.5000 0.5000 Re
0.2500 0.2500 0.2500 I
0.7500 0.7500 0.7500 I

b | CuReI2 (PBE, optimized geometry); space-group type = I-42d
1.0
-3.1068 3.1068 5.5953
3.1068 -3.1068 5.5953
3.1068 3.1068 -5.5953
Cu Re I
2 2 4
Direct
0.0000 0.0000 0.0000 Cu
0.7500 0.2500 0.5000 Cu
0.2500 0.7500 0.5000 Re
0.5000 0.5000 0.0000 Re
0.1245 0.6250 0.9995 I
0.3750 0.3745 0.4995 I
0.6255 0.1250 0.0005 I
0.8750 0.8755 0.5005 I

Stability check: which of them is most stable? b.

a | CuRe2I (PBE, optimized geometry); space-group type = Fm-3m
1.0
0.0000 3.1537 3.1537
3.1537 0.0000 3.1537
3.1537 3.1537 0.0000
Cu Re I
1 2 1
Direct
0.0000 0.0000 0.0000 Cu
0.2500 0.2500 0.2500 Re
0.7500 0.7500 0.7500 Re
0.5000 0.5000 0.5000 I

b | CuRe2I (PBE, optimized geometry); space-group type = I-42d
1.0
-1.9727 1.9727 9.6193
1.9727 -1.9727 9.6193
1.9727 1.9727 -9.6193
Cu Re I
2 4 2
Direct
0.0000 0.0000 0.0000 Cu
0.7500 0.2500 0.5000 Cu
0.0535 0.6250 0.9285 Re
0.3750 0.3035 0.4285 Re
0.6965 0.1250 0.0715 Re
0.8750 0.9465 0.5715 Re
0.2500 0.7500 0.5000 I
0.5000 0.5000 0.0000 I

Stability check: which of them is most stable? b.